{"formula": "PmLuGaSi", "functional": "PBE", "state": "optimized geometry", "lattice_angstrom": [[5.036, 0.000, 0.000], [2.518, 4.361, 0.000], [2.518, 1.454, 4.112]], "species": ["Lu", "Si", "Ga", "Pm"], "fractional_positions": [[0.750, 0.750, 0.750], [0.500, 0.500, 0.500], [0.000, 0.000, 0.000], [0.250, 0.250, 0.250]], "dos_at_fermi_per_ev_cell": 3.09, "density_g_cm3": 7.68, "magnetic_moment_mub_per_cell": 0.00, "formation_energy_uncorrected_ev_per_atom": -0.463, "dft_energy_ry_per_atom": -0.3597}